First-principles (GGA-PBE) data for an optimized crystal structure of Li2HoCuAs2, as listed in the Open Quantum Materials Database. Values from VASP.

Results
calculated volume: 16.619 Å³ per atom
total magnetic moment: 0.00 μB per formula unit
E: -4.3190 eV/atom
mass density: 6.5 g/cm³

```
&SYSTEM
  ibrav = 0, nat = 6, ntyp = 4
/
ATOMIC_SPECIES
Li 6.94 Li.upf
Ho 164.93 Ho.upf
Cu 63.55 Cu.upf
As 74.92 As.upf
CELL_PARAMETERS angstrom
4.1902 0.0000 0.0000
-2.0951 3.6288 0.0000
0.0000 0.0000 6.5578
ATOMIC_POSITIONS crystal
Li 0.3333 0.6667 0.1460
Li 0.6667 0.3333 0.8540
Ho 0.0000 0.0000 0.5000
Cu 0.0000 0.0000 0.0000
As 0.3333 0.6667 0.7527
As 0.6667 0.3333 0.2473
```

=====

First-principles (GGA-PBE) data for an optimized crystal structure of HoLuCu2As4, as listed in the Open Quantum Materials Database. Values from VASP.

Results
calculated volume: 18.452 Å³ per atom
total magnetic moment: 0.01 μB per formula unit
E: -5.1839 eV/atom
mass density: 8.6 g/cm³

```
&SYSTEM
  ibrav = 0, nat = 8, ntyp = 4
/
ATOMIC_SPECIES
Ho 164.93 Ho.upf
Lu 174.97 Lu.upf
Cu 63.55 Cu.upf
As 74.92 As.upf
CELL_PARAMETERS angstrom
3.8891 0.0000 0.0000
0.0000 3.8891 0.0000
0.0000 0.0000 9.7598
ATOMIC_POSITIONS crystal
Ho 0.0000 0.0000 0.0000
Lu 0.5000 0.5000 0.4714
Cu 0.0000 0.5000 0.7335
Cu 0.5000 0.0000 0.7335
As 0.0000 0.0000 0.5694
As 0.0000 0.5000 0.2378
As 0.5000 0.0000 0.2378
As 0.5000 0.5000 0.8973
```